The following is a DFT calculation (meta-GGA SCAN) of Sr5B3O9F at its PBEsol-relaxed geometry.

Values from the calculation:
calculated total energy	-13.95	eV per atom
formation energy without anion corrections	-3213	meV/atom

Unit cell a=7.2075 b=14.0021 c=9.7814 alpha=90.00 beta=90.00 gamma=90.00
Space group Pnma (No. 62)
Asymmetric unit:
Sr  0.0286  0.1124  0.2466
Sr  0.2113  0.7500  0.4806
Sr  0.2471  0.1197  0.6261
B  0.1988  0.5384  0.4384
B  0.2179  0.7500  0.8891
O  0.0553  0.7500  0.9632
O  0.0912  0.5901  0.3471
O  0.1133  0.2500  0.4555
O  0.2155  0.7500  0.7468
O  0.2193  0.5462  0.8959
O  0.2226  0.5695  0.5725
F  0.1362  0.2500  0.7641

The following is a DFT calculation (meta-GGA SCAN) of LiNiIr2 at its PBEsol-relaxed geometry.

Values from the calculation:
calculated total energy	-40.30	eV per atom
formation energy	-113	meV per atom

Unit cell a=8.7959 b=2.6449 c=4.4061 alpha=90.00 beta=99.70 gamma=90.00
Space group Cm (No. 8)
Asymmetric unit:
Li  0.0000  0.0000  0.0000
Ni  0.2440  0.0000  0.8040
Ir  0.0069  0.5000  0.5033
Ir  0.2616  0.5000  0.3076

The following is a DFT calculation (meta-GGA SCAN) of MgTeSe at its PBEsol-relaxed geometry.

Values from the calculation:
calculated total energy	-21.18	eV per atom
formation energy without anion corrections	-408	meV/atom

Unit cell a=3.5009 b=3.5009 c=11.2502 alpha=90.00 beta=90.00 gamma=90.00
Space group I4mm (No. 107)
Asymmetric unit:
Mg  0.0000  0.0000  0.0000
Te  0.0000  0.0000  0.3042
Se  0.0000  0.0000  0.5892